1.
A relaxed structure of LiMgNb, computed with PBE.

```
LiMgNb
1.0
-4.630 0.602 0.976
3.039 -1.173 3.485
0.928 5.467 1.031
Mg Nb Li
2 2 2
Cartesian
-1.842 1.377 2.070
1.179 3.519 3.421
-1.378 4.111 2.585
0.715 0.785 2.906
0.464 2.733 0.515
0.000 0.000 0.000
```

E above lowest polymorph, meV/atom: 541.4
DFT total energy, eV per cell: -22.92
V, Å³/atom: 18.524
ΔH_f (0 K), eV/f.u.: 2.12
Crystal system: hexagonal

2.
A relaxed structure of CaSm2Mg4, computed with PBE.

```
CaSm2Mg4
1.0
-1.453 2.260 4.726
0.737 -2.715 4.652
6.897 2.977 3.822
Mg Sm Ca
4 2 1
Cartesian
3.943 1.682 3.534
1.589 0.603 6.454
4.592 1.920 6.747
2.238 0.840 9.666
0.866 0.333 3.234
5.315 2.189 9.967
0.000 0.000 0.000
```

DFT total energy, eV per cell: -17.32
V, Å³/atom: 28.604
ΔH_f (0 K), eV/f.u.: 0.49
Crystal system: trigonal

3.
A relaxed structure of LiEuGePb, computed with PBE.

```
LiEuGePb
1.0
5.201 0.000 0.000
2.601 4.504 0.000
2.601 1.501 4.247
Ge Pb Li Eu
1 1 1 1
Cartesian
2.601 1.501 1.062
7.802 4.504 3.185
5.201 3.003 2.123
0.000 0.000 0.000
```

DFT total energy, eV per cell: -21.79
V, Å³/atom: 24.872
ΔH_f (0 K), eV/f.u.: -1.28
Crystal system: cubic

4.
A relaxed structure of ErTm2InN, computed with PBE.

```
ErTm2InN
1.0
4.763 0.000 0.000
0.000 4.735 0.000
0.000 0.000 4.735
N Tm Er In
1 2 1 1
Cartesian
0.000 0.000 0.000
0.000 0.000 2.368
0.000 2.368 0.000
2.381 0.000 0.000
2.381 2.368 2.368
```

DFT total energy, eV per cell: -29.66
V, Å³/atom: 21.358
ΔE_f (raw), eV per atom: -1.02
Crystal system: tetragonal

5.
A relaxed structure of LiICl2, computed with PBE.

```
LiICl2
1.0
6.986 0.000 0.000
0.000 6.986 0.000
3.493 3.493 4.840
I Li Cl
2 2 4
Cartesian
6.986 3.493 2.420
0.000 0.000 0.000
3.493 6.986 2.420
3.493 3.493 0.000
4.598 1.747 1.210
2.388 5.240 1.210
8.733 8.091 3.630
5.240 5.882 3.630
```

E above lowest polymorph, meV/atom: 319.5
DFT total energy, eV per cell: -19.04
V, Å³/atom: 29.530
ΔE_f (raw), eV per atom: -0.59
Crystal system: tetragonal

6.
A relaxed structure of Tc3RuS, computed with PBE.

```
Tc3RuS
1.0
-2.570 -3.587 -1.547
-1.086 -1.122 4.407
-3.752 2.781 -0.216
S Tc Ru
1 3 1
Cartesian
-3.704 -0.964 1.322
-0.543 -0.561 2.204
-1.285 -1.794 -0.773
-1.876 1.391 -0.108
0.000 0.000 0.000
```

DFT total energy, eV per cell: -34.68
V, Å³/atom: 20.443
ΔE_f (raw), eV per atom: 1.96
Crystal system: cubic

7.
A relaxed structure of InAg2Hg2, computed with PBE.

```
InAg2Hg2
1.0
4.971 -0.071 -0.016
-2.548 6.264 -4.376
0.004 -1.443 8.581
Hg Ag In
4 4 2
Cartesian
2.556 1.696 5.310
-0.129 3.054 -1.120
0.093 2.318 3.210
2.334 2.432 0.979
3.722 -1.142 7.896
-1.295 5.892 -3.707
1.258 -0.398 3.608
1.169 5.148 0.581
-1.332 5.136 2.059
3.759 -0.386 2.130
```

E above lowest polymorph, meV/atom: 0.0
DFT total energy, eV per cell: -17.70
V, Å³/atom: 23.422
ΔH_f (0 K), eV/f.u.: 0.19
Crystal system: triclinic

8.
A relaxed structure of Ca2NdSm, computed with PBE.

```
Ca2NdSm
1.0
-2.990 3.915 3.322
-5.719 -0.957 1.293
-1.595 -1.415 5.545
Ca Nd Sm
2 1 1
Cartesian
-7.728 1.157 7.620
-2.576 0.386 2.540
0.000 0.000 0.000
-5.152 0.771 5.080
```

E above lowest polymorph, meV/atom: 90.8
DFT total energy, eV per cell: -12.97
V, Å³/atom: 37.070
ΔH_f (0 K), eV/f.u.: 0.52
Crystal system: cubic